LiDyTl2F6 after structural relaxation. Source: the Alexandria database, functional GGA-PBE.

Summary:
- Space group: I4/mmm, No. 139

Lattice parameters (Å, degrees): 6.128 6.128 6.139 119.96 119.96 89.98
Atoms (fractional coordinates):
Li: 0.000 0.000 0.000
Dy: 0.500 0.500 0.000
Tl: 0.750 0.251 0.500
Tl: 0.250 0.750 0.500
F: 0.753 0.753 0.999
F: 0.752 0.753 0.504
F: 0.247 0.247 0.000
F: 0.753 0.247 0.000
F: 0.247 0.248 0.495
F: 0.247 0.753 0.000

***

Dy3LuF after structural relaxation. Source: the Alexandria database, functional GGA-PBE.

Summary:
- Space group: Pm-3m, No. 221

Lattice parameters (Å, degrees): 5.003 5.003 5.003 90.00 90.00 90.00
Atoms (fractional coordinates):
Lu: 0.500 0.500 0.500
Dy: 0.000 0.500 0.000
Dy: 0.000 0.000 0.500
Dy: 0.500 0.000 0.000
F: 0.000 0.000 0.000

***

DyMg2F8 after structural relaxation. Source: the Alexandria database, functional GGA-PBE.

Summary:
- Space group: I4/mmm, No. 139

Lattice parameters (Å, degrees): 5.069 5.069 6.457 113.11 113.11 90.00
Last column: magnetic moment on the atom in μB.
Atoms (fractional coordinates):
Dy: 0.500 0.500 0.000  -0.02
Mg: 0.750 0.250 0.500  0.00
Mg: 0.250 0.750 0.500  0.00
F: 0.880 0.391 0.271  0.12
F: 0.120 0.609 0.729  0.12
F: 0.609 0.120 0.729  0.12
F: 0.120 0.120 0.729  0.12
F: 0.391 0.880 0.271  0.12
F: 0.880 0.880 0.271  0.12
F: 0.391 0.391 0.271  0.12
F: 0.609 0.609 0.729  0.12

***

Dy2MgF after structural relaxation. Source: the Alexandria database, functional GGA-PBE.

Summary:
- Space group: R-3m, No. 166

Lattice parameters (Å, degrees): 3.291 3.291 10.350 80.85 80.85 60.00
Atoms (fractional coordinates):
Mg: 0.000 0.000 0.000
F: 0.500 0.500 0.500
Dy: 0.106 0.106 0.681
Dy: 0.894 0.894 0.319

***

Values of E_form (uncorrected), in order: -2.933, -0.923, -3.254, -0.830, all in eV per atom.